Entry 1:
NaPrTl: optimized geometry, PBE. Values from VASP.

```
&SYSTEM
  ibrav = 0, nat = 3, ntyp = 3
/
ATOMIC_SPECIES
Na 22.99 Na.upf
Tl 204.38 Tl.upf
Pr 140.91 Pr.upf
CELL_PARAMETERS angstrom
3.7874 0.0000 0.0000
0.0000 3.7874 0.0000
-1.8937 -1.8937 6.6002
ATOMIC_POSITIONS angstrom
Na 1.8937 1.8937 1.2608
Tl 1.8937 1.8937 5.9860
Pr 0.0000 0.0000 3.9735
```

Properties
Fermi-level density of states = 4.1 states/eV/cell
Symmetry = I4mm, No. 107
Energy above the lowest structure with this stoichiometry = 3.25 kcal/mol of atoms
DFT total energy = -0.2110 Ry/atom

---

Entry 2:
Sr2ZnTeIr: optimized geometry, PBE. Values from VASP.

```
&SYSTEM
  ibrav = 0, nat = 5, ntyp = 4
/
ATOMIC_SPECIES
Te 127.60 Te.upf
Sr 87.62 Sr.upf
Zn 65.41 Zn.upf
Ir 192.22 Ir.upf
CELL_PARAMETERS angstrom
5.7640 0.0000 0.0000
0.0000 5.7640 0.0000
0.0000 0.0000 4.7959
ATOMIC_POSITIONS angstrom
Te 2.8820 2.8820 2.3980
Sr 2.8820 0.0000 0.0000
Zn 0.0000 0.0000 2.3980
Sr 0.0000 2.8820 0.0000
Ir 0.0000 0.0000 0.0000
```

Properties
Fermi-level density of states = 3.4 states/eV/cell
Symmetry = P4/mmm, No. 123
ΔE_f (raw) = -565 meV/atom
DFT total energy = -0.2861 Ry/atom

---

Entry 3:
MgTl2Au: optimized geometry, PBE. Values from VASP.

```
&SYSTEM
  ibrav = 0, nat = 4, ntyp = 3
/
ATOMIC_SPECIES
Tl 204.38 Tl.upf
Mg 24.30 Mg.upf
Au 196.97 Au.upf
CELL_PARAMETERS angstrom
-0.9823 -4.6648 -1.9711
1.1977 -4.2389 2.6847
-3.7441 -2.9174 2.0201
ATOMIC_POSITIONS angstrom
Tl -2.6466 -8.8658 2.0503
Mg 0.0000 0.0000 0.0000
Tl -0.8822 -2.9553 0.6834
Au -1.7644 -5.9105 1.3669
```

Properties
Fermi-level density of states = 2.1 states/eV/cell
Symmetry = Fm-3m, No. 225
Energy above the lowest structure with this stoichiometry = 3.89 kcal/mol of atoms
DFT total energy = -0.1764 Ry/atom

---

Entry 4:
YRe4Pb: optimized geometry, PBE. Values from VASP.

```
&SYSTEM
  ibrav = 0, nat = 6, ntyp = 3
/
ATOMIC_SPECIES
Y 88.91 Y.upf
Re 186.21 Re.upf
Pb 207.20 Pb.upf
CELL_PARAMETERS angstrom
-3.4568 -3.3146 2.4935
-4.9173 1.7604 1.3689
-4.3502 -1.8328 -2.6211
ATOMIC_POSITIONS angstrom
Y -9.5432 -2.5402 0.9310
Re -7.2345 -0.3836 1.1525
Re -6.9495 -2.1889 -0.8522
Re -6.5007 -2.9333 1.7175
Re -4.7639 -1.2680 0.4647
Pb 0.0000 0.0000 0.0000
```

Properties
Fermi-level density of states = 6.5 states/eV/cell
Symmetry = F-43m, No. 216
DFT total energy = -0.7126 Ry/atom

---

Entry 5:
Ho2MgCuSi4O12: optimized geometry, PBE. Values from VASP.

```
&SYSTEM
  ibrav = 0, nat = 20, ntyp = 5
/
ATOMIC_SPECIES
Mg 24.30 Mg.upf
Ho 164.93 Ho.upf
Si 28.09 Si.upf
O 16.00 O.upf
Cu 63.55 Cu.upf
CELL_PARAMETERS angstrom
-4.1924 5.5409 3.7892
1.2197 -7.3674 2.6210
3.8399 1.3073 3.3443
ATOMIC_POSITIONS angstrom
Mg 1.9200 0.6537 1.6722
Ho 0.0975 -4.6910 2.8633
Si 0.8197 -1.9728 6.2770
O 2.7567 -0.8570 2.8974
O 0.2735 -0.1651 3.0914
O -0.3655 1.6464 5.0498
O 2.0175 -2.5830 7.1893
O -1.8895 0.3378 6.8572
O -0.6497 -2.6193 6.5896
Si 1.2858 -1.4998 3.2104
Si 0.0475 1.4536 3.4776
Cu 0.0000 0.0000 0.0000
Si -0.4186 0.9806 6.5443
O 1.5169 2.1001 3.1650
O 1.2327 -2.1656 4.7048
Ho -3.0703 2.8645 3.5470
O 0.5937 -0.3541 6.6632
O 0.0498 2.1100 7.6141
O 0.8174 -2.6292 2.1406
O -1.1503 2.0638 2.5653
```

Properties
Fermi-level density of states = 2.5 states/eV/cell
Symmetry = C2/m, No. 12
ΔE_f (raw) = -2661 meV/atom
Energy above the lowest structure with this stoichiometry = 0.78 kcal/mol of atoms
DFT total energy = -0.5485 Ry/atom

---

Entry 6:
Te4I5Cl2: optimized geometry, PBE. Values from VASP.

```
&SYSTEM
  ibrav = 0, nat = 11, ntyp = 3
/
ATOMIC_SPECIES
Te 127.60 Te.upf
I 126.90 I.upf
Cl 35.45 Cl.upf
CELL_PARAMETERS angstrom
0.4759 12.2459 -10.4876
-5.9623 2.9495 -2.5042
-2.2161 13.2184 -3.7397
ATOMIC_POSITIONS angstrom
Te -2.7926 18.2727 -8.6316
I -2.5256 9.8412 -6.2594
I -5.1769 18.5725 -10.4721
I -6.4475 23.8947 -14.8556
Te -4.9099 10.1411 -8.0999
Te -6.1937 12.9185 -6.8907
Cl -0.8340 13.3307 -10.6691
Cl -6.8685 15.0831 -6.0624
Te -1.5088 15.4953 -9.8407
I -3.8513 14.2069 -8.3657
I -1.2550 4.5190 -1.8759
```

Properties
Fermi-level density of states = 2.9 states/eV/cell
Symmetry = P-1, No. 2
ΔE_f (raw) = -124 meV/atom
DFT total energy = -0.1696 Ry/atom

---

Entry 7:
PrAl3Ir2: optimized geometry, PBE. Values from VASP.

```
&SYSTEM
  ibrav = 0, nat = 12, ntyp = 3
/
ATOMIC_SPECIES
Al 26.98 Al.upf
Ir 192.22 Ir.upf
Pr 140.91 Pr.upf
CELL_PARAMETERS angstrom
-4.8702 2.5540 -1.2540
-3.1772 -4.5923 2.9863
0.9712 4.1510 4.6827
ATOMIC_POSITIONS angstrom
Al -5.0249 0.1918 0.8784
Ir -2.3007 -2.7449 3.3447
Al -3.3347 0.2150 7.0468
Al -3.5706 -1.2814 4.9153
Ir -2.3404 3.5806 3.6972
Pr -5.0782 1.6304 4.0153
Pr -1.9980 0.4824 2.3997
Ir 0.0947 2.3036 4.3242
Al -3.5055 3.3941 1.4997
Ir -4.7357 -1.4679 2.7177
Al -3.7414 1.8978 -0.6318
Al -2.0513 1.9209 5.5366
```

Properties
Fermi-level density of states = 4.9 states/eV/cell
Symmetry = Cmcm, No. 63
DFT total energy = -0.4743 Ry/atom

---

Entry 8:
LiCeInAg: optimized geometry, PBE. Values from VASP.

```
&SYSTEM
  ibrav = 0, nat = 4, ntyp = 4
/
ATOMIC_SPECIES
Ce 140.12 Ce.upf
Li 6.94 Li.upf
Ag 107.87 Ag.upf
In 114.82 In.upf
CELL_PARAMETERS angstrom
4.9922 0.0000 0.0000
2.4961 4.3234 0.0000
2.4961 1.4411 4.0761
ATOMIC_POSITIONS angstrom
Ce 4.9922 2.8822 2.0380
Li 7.4883 4.3234 3.0571
Ag 2.4961 1.4411 1.0190
In 0.0000 0.0000 0.0000
```

Properties
Fermi-level density of states = 6.9 states/eV/cell
Symmetry = F-43m, No. 216
DFT total energy = -0.2662 Ry/atom

---

Entry 9:
Rb2TlHgCl6: optimized geometry, PBE. Values from VASP.

```
&SYSTEM
  ibrav = 0, nat = 10, ntyp = 4
/
ATOMIC_SPECIES
Cl 35.45 Cl.upf
Hg 200.59 Hg.upf
Rb 85.47 Rb.upf
Tl 204.38 Tl.upf
CELL_PARAMETERS angstrom
-2.8775 5.7656 -4.2185
-4.5323 -1.5336 -6.0352
-7.5215 1.6253 0.3212
ATOMIC_POSITIONS angstrom
Cl -5.2072 4.3251 -4.5982
Cl -6.0217 0.7322 -5.4924
Cl -8.9095 5.1251 -4.4401
Hg -7.4656 2.9286 -4.9663
Cl -9.7241 1.5322 -5.3344
Cl -7.4931 2.2871 -2.3636
Cl -7.4381 3.5702 -7.5689
Rb -3.7328 1.4643 -2.4831
Rb -11.1984 4.3929 -7.4494
Tl 0.0000 0.0000 0.0000
```

Properties
Fermi-level density of states = 0.6 states/eV/cell
Symmetry = Fm-3m, No. 225
ΔE_f (raw) = -1192 meV/atom
DFT total energy = -0.2029 Ry/atom

---

Entry 10:
SrCd9Ga2: optimized geometry, PBE. Values from VASP.

```
&SYSTEM
  ibrav = 0, nat = 24, ntyp = 3
/
ATOMIC_SPECIES
Cd 112.41 Cd.upf
Sr 87.62 Sr.upf
Ga 69.72 Ga.upf
CELL_PARAMETERS angstrom
7.2812 0.0000 3.3521
3.6406 8.3773 1.6761
0.1373 0.0000 9.2857
ATOMIC_POSITIONS angstrom
Cd 2.6681 3.5402 2.8830
Sr 3.7092 4.1887 6.3189
Cd 8.5550 6.8743 9.2637
Cd 4.7504 3.5402 9.7548
Ga 7.3155 2.0943 5.6735
Ga 7.3841 2.0943 10.3164
Cd 7.3498 4.1887 7.9950
Ga 9.1358 6.2830 6.5116
Sr 3.6406 0.0000 1.6761
Cd 1.8848 2.6856 9.3763
Cd 4.6817 0.6485 5.1119
Cd 2.7367 0.6485 7.5259
Cd 9.8539 5.6917 13.0451
Cd 6.1446 6.8743 6.7262
Cd 1.8162 1.5031 4.7335
Cd 5.6023 1.5031 7.9043
Cd 10.7058 7.7288 11.1947
Cd 6.9965 4.8372 4.8758
Cd 4.8457 5.6917 2.9448
Cd 7.7031 4.8372 11.1141
Cd 3.9939 7.7288 4.7952
Cd 0.0000 0.0000 0.0000
Ga 5.5638 6.2830 9.4784
Cd 5.5336 2.6856 3.2615
```

Properties
Fermi-level density of states = 8.1 states/eV/cell
Symmetry = I4_1/amd, No. 141
DFT total energy = -0.1059 Ry/atom

---

Entry 11:
CuBSe2: optimized geometry, PBE. Values from VASP.

```
&SYSTEM
  ibrav = 0, nat = 16, ntyp = 3
/
ATOMIC_SPECIES
B 10.81 B.upf
Se 78.96 Se.upf
Cu 63.55 Cu.upf
CELL_PARAMETERS angstrom
-3.8536 -3.9675 2.7549
4.1624 0.2390 6.1666
-3.2929 4.6174 2.0438
ATOMIC_POSITIONS angstrom
B 0.4242 -2.0726 5.4239
Se -0.9138 2.4298 3.7179
Cu -5.0183 2.2892 4.4296
Se -3.7197 0.3956 3.7929
Se -0.5568 -0.9654 3.9727
Se 1.7194 -0.8862 6.5617
Se 1.3667 2.9955 7.0136
B -4.7376 -1.3600 4.3877
Cu -2.5375 -1.1837 7.3823
B -1.7832 0.6828 4.5327
Se -1.0865 -2.9204 6.6368
Cu 0.4227 0.8594 7.5359
Se -3.7001 -3.0190 3.5478
Se -1.7767 0.9419 6.5887
Cu -2.0582 4.3323 4.5831
B 3.3786 -0.0298 5.5689
```

Properties
Fermi-level density of states = 0.0 states/eV/cell
Symmetry = Pna2_1, No. 33
ΔE_f (raw) = -114 meV/atom
DFT total energy = -0.3344 Ry/atom

---

Entry 12:
BaSrPaO4: optimized geometry, PBE. Values from VASP.

```
&SYSTEM
  ibrav = 0, nat = 7, ntyp = 4
/
ATOMIC_SPECIES
Pa 231.04 Pa.upf
O 16.00 O.upf
Sr 87.62 Sr.upf
Ba 137.33 Ba.upf
CELL_PARAMETERS angstrom
-1.5223 -1.7451 3.8427
3.0111 -3.3115 -0.3110
3.6645 6.2161 1.6554
ATOMIC_POSITIONS angstrom
Pa 0.0061 0.0051 0.0047
O 3.7179 -0.0412 4.0733
O 3.6076 2.7816 5.3115
O 1.4964 1.2516 1.1612
Sr 3.0876 2.5826 2.3960
O 5.8743 1.9984 3.2346
Ba 2.0790 -1.4120 2.8015
```

Properties
Fermi-level density of states = 4.2 states/eV/cell
Symmetry = I4mm, No. 107
ΔE_f (raw) = -2962 meV/atom
DFT total energy = -0.5635 Ry/atom